Run one
Entry from the Alexandria database: a geometry-optimized BeGeRu structure (PBE).

Unit cell a=3.9764 b=3.9764 c=9.7252 alpha=90.00 beta=90.00 gamma=120.00
Space group R3m (No. 160, hexagonal axes)
Asymmetric unit:
Be 0.0000 0.0000 0.0000 x3
Ge 0.0000 0.0000 0.5007 x3
Ru 0.0000 0.0000 0.2504 x3

Summary:
DOS at the Fermi energy   0.45 states/eV/atom
ρ   6.84 g/cm3

---

Run two
Entry from the Alexandria database: a geometry-optimized BeGeRu structure (PBE).

Unit cell a=3.9022 b=3.9022 c=2.8256 alpha=90.00 beta=90.00 gamma=120.00
Space group P3m1 (No. 156)
Asymmetric unit:
Be 0.0000 0.0000 0.0000 x1
Ge 0.6667 0.3333 0.0345 x1
Ru 0.3333 0.6667 0.5352 x1

Summary:
DOS at the Fermi energy   0.46 states/eV/atom
ρ   8.14 g/cm3

---

The structure with the most favorable energy is run two; the runner-up is 23 meV per atom above it.

---

Run one
Entry from the Alexandria database: a geometry-optimized Be2GeRu2 structure (PBE).

Unit cell a=6.318 b=6.318 c=3.106 alpha=90.00 beta=90.00 gamma=90.00
Space group P4/mbm (No. 127)
Asymmetric unit:
Be 0.132 0.368 0.000 x4
Ge 0.000 0.000 0.500 x2
Ru 0.158 0.658 0.500 x4

Summary:
DOS at the Fermi energy   0.14 states/eV/atom
ρ   7.84 g/cm3

---

Run two
Entry from the Alexandria database: a geometry-optimized Be2GeRu2 structure (PBE).

Unit cell a=6.166 b=6.166 c=2.971 alpha=90.00 beta=90.00 gamma=90.00
Space group P4/mbm (No. 127)
Asymmetric unit:
Be 0.120 0.380 0.000 x4
Ge 0.000 0.000 0.000 x2
Ru 0.175 0.675 0.500 x4

Summary:
DOS at the Fermi energy   0.35 states/eV/atom
ρ   8.61 g/cm3

---

The structure with the most favorable energy is run two; the runner-up is 46 meV per atom above it.